(1)
The following is a GGA-PBE calculation of a geometry-optimized AlSnAs2Se structure, from the Alexandria database.

a b c (Å): 4.760 4.760 5.548
angles (deg): 90.00 90.00 90.00
Atoms (fractional coordinates):
Al 0.000 0.000 0.000
Sn 0.000 0.000 0.500
As 0.000 0.500 0.000
As 0.500 0.000 0.000
Se 0.500 0.500 0.500

Computed properties:
DOS(E_F), states/eV/f.u.: 5.2
Energy above the lowest structure with this stoichiometry, meV/atom: 266
Mass density, Mg/m³: 4.9

=====

(2)
The following is a GGA-PBE calculation of a geometry-optimized SrAlAs2Se8 structure, from the Alexandria database.

a b c (Å): 6.452 6.452 9.233
angles (deg): 90.00 90.00 120.00
Atoms (fractional coordinates):
Sr 0.000 0.000 0.000
Al 0.000 0.000 0.500
As 0.333 0.667 0.740
As 0.667 0.333 0.260
Se 0.011 0.728 0.306
Se 0.272 0.283 0.306
Se 0.283 0.011 0.694
Se 0.333 0.667 0.994
Se 0.667 0.333 0.006
Se 0.717 0.989 0.306
Se 0.728 0.717 0.694
Se 0.989 0.272 0.694

Computed properties:
DOS(E_F), states/eV/f.u.: 7.9
Mass density, Mg/m³: 4.5

=====

(3)
The following is a GGA-PBE calculation of a geometry-optimized AlTcAs2Se structure, from the Alexandria database.

a b c (Å): 4.660 4.660 5.554
angles (deg): 90.00 90.00 90.00
Atoms (fractional coordinates):
Al 0.000 0.000 0.000
Tc 0.500 0.500 0.500
As 0.000 0.500 0.500
As 0.500 0.000 0.500
Se 0.500 0.500 0.000

Computed properties:
DOS(E_F), states/eV/f.u.: 3.7
Energy above the lowest structure with this stoichiometry, meV/atom: 0
Mass density, Mg/m³: 4.9

=====

Values for uncorrected formation energy, eV per atom, ordered as above
0.49; -0.41; 0.46
Values for total magnetic moment, μB per atom, ordered as above
0.000; 0.000; 0.000
Values for energy, eV/atom, ordered as above
-3.620; -3.961; -4.919